# 1
## Cs3SF (PBE)

Data for a relaxed Cs3SF crystal.

Cell: 16.151 12.762 8.778 Å, 90.00 105.44 90.00°
Space group C2/c (No. 15)
Inequivalent atoms, fractional coordinates:
Cs 0.106 0.115 0.135 x8
Cs 0.122 0.456 0.989 x8
Cs 0.132 0.223 0.585 x8
S 0.000 0.095 0.750 x4
S 0.000 0.342 0.250 x4
F 0.209 0.404 0.744 x8

Calculated values
The calculation puts the mass density at 3.43 g/cm3. The formation energy (no corrections) is -1.61 eV per atom.

***

# 2
## CsS2F (PBE)

Data for a relaxed CsS2F crystal.

Cell: 5.7907 5.7907 12.5130 Å, 90.00 90.00 120.00°
Space group R-3m (No. 166, hexagonal axes)
Inequivalent atoms, fractional coordinates:
Cs 0.0000 0.0000 0.0000 x3
S 0.0000 0.0000 0.3340 x6
F 0.0000 0.0000 0.5000 x3

Calculated values
The calculation puts the mass density at 2.96 g/cm3. The density of states at the Fermi level is 2.66 states/eV/f.u. The formation energy (no corrections) is -0.13 eV per atom.

***

Polymorph energy (0 for the lowest one) readings, ordered: 0 799 meV/atom